Entry 1:
La2Sm3Sn2 | PBE | optimized geometry

Cell: 3.5799 8.2948 9.0787 Å, 119.78 101.37 90.00°
Fractional positions:
La1 0.8864 0.7462 0.7728
La2 0.1136 0.2538 0.2272
Sm1 0.0000 0.5000 0.0000
Sm2 0.2116 0.7828 0.4233
Sm3 0.7884 0.2172 0.5767
Sn1 0.5817 0.8826 0.1634
Sn2 0.4183 0.1174 0.8366

Crystal system   monoclinic
Symmetry   C2/m (12)
Total energy   -34.21 eV/cell
ΔE_f   -313 meV/atom
Total magnetic moment   0.00 μB per formula unit

=====

Entry 2:
Mg6Tl12Pb | PBE | optimized geometry

Cell: 8.1320 8.1320 8.1320 Å, 87.14 87.14 87.14°
Fractional positions:
Mg1 0.2645 0.1224 0.7250
Mg2 0.8776 0.2750 0.7355
Mg3 0.2750 0.7355 0.8776
Mg4 0.7355 0.8776 0.2750
Mg5 0.1224 0.7250 0.2645
Mg6 0.7250 0.2645 0.1224
Tl1 0.5777 0.1911 0.4781
Tl2 0.1911 0.4781 0.5777
Tl3 0.4781 0.5777 0.1911
Tl4 0.4223 0.8089 0.5219
Tl5 0.8089 0.5219 0.4223
Tl6 0.5219 0.4223 0.8089
Tl7 0.9590 0.8440 0.6198
Tl8 0.3802 0.0410 0.1560
Tl9 0.1560 0.3802 0.0410
Tl10 0.0410 0.1560 0.3802
Tl11 0.6198 0.9590 0.8440
Tl12 0.8440 0.6198 0.9590
Pb1 0.0000 0.0000 0.0000

Crystal system   trigonal
Symmetry   R-3 (148)
Total energy   -41.29 eV/cell
ΔE_f   20 meV/atom
Total magnetic moment   0.00 μB per formula unit

=====

Entry 3:
Sm3Y2Tm6 | PBE | optimized geometry

Cell: 6.1057 6.1136 11.5552 Å, 84.89 79.73 60.04°
Fractional positions:
Sm1 0.0000 0.0000 0.0000
Sm2 0.3353 0.3293 0.0000
Sm3 0.6647 0.6707 0.0000
Y1 0.1662 0.6676 0.5000
Y2 0.8338 0.3324 0.5000
Tm1 0.4175 0.6668 0.7483
Tm2 0.7506 0.0000 0.7487
Tm3 0.0842 0.3332 0.7483
Tm4 0.2494 0.0000 0.2513
Tm5 0.5825 0.3332 0.2517
Tm6 0.9158 0.6668 0.2517

Crystal system   monoclinic
Symmetry   C2/m (12)
Total energy   -51.66 eV/cell
ΔE_f   205 meV/atom
Total magnetic moment   1.57 μB per formula unit
Energy above the most stable polymorph in this dataset   0 meV/atom

=====

Entry 4:
K2AsClF6 | PBE | optimized geometry

Cell: 7.6252 7.7523 7.5561 Å, 44.78 40.15 45.71°
Fractional positions:
K1 0.5080 0.6090 0.2549
K2 0.1243 0.0233 0.8481
As1 0.3162 0.3162 0.0515
Cl1 0.8162 0.8162 0.5514
F1 0.3931 0.3520 0.1942
F2 0.1877 0.0618 0.3927
F3 0.9659 0.5489 0.1791
F4 0.4447 0.5706 0.7104
F5 0.6664 0.0834 0.9241
F6 0.2393 0.2803 0.9089

Crystal system   triclinic
Raw formation energy   -22.89 eV/f.u.
Symmetry   P-1 (2)
Total energy   -42.81 eV/cell
Total magnetic moment   0.07 μB per formula unit

=====

Entry 5:
CsCl4 | PBE | optimized geometry

Cell: 6.8836 6.8836 6.8836 Å, 90.00 90.00 90.00°
Fractional positions:
Cs1 0.5000 0.5000 0.5000
Cl1 0.0000 0.0000 0.0000
Cl2 0.5000 0.0000 0.5000
Cl3 0.0000 0.5000 0.5000
Cl4 0.5000 0.5000 0.0000

Crystal system   cubic
Raw formation energy   0.15 eV/f.u.
Symmetry   Pm-3m (221)
Total energy   -8.09 eV/cell
Total magnetic moment   3.02 μB per formula unit
Energy above the most stable polymorph in this dataset   799 meV/atom

=====

Entry 6:
Nd2EuGe | PBE | optimized geometry

Cell: 3.9689 3.9689 7.7848 Å, 90.00 90.00 90.00°
Fractional positions:
Eu1 0.5000 0.5000 0.5000
Ge1 0.5000 0.5000 0.0000
Nd1 0.0000 0.0000 0.8065
Nd2 0.0000 0.0000 0.1935

Crystal system   tetragonal
Symmetry   P4/mmm (123)
Total energy   -25.56 eV/cell
ΔE_f   -283 meV/atom
Total magnetic moment   8.40 μB per formula unit
Energy above the most stable polymorph in this dataset   21 meV/atom